This record from Alexandria describes a relaxed Cs3NdMo3O12 crystal. The functional is GGA+U.

abc: 9.586 6.501 26.152
angles: 90.00 90.00 90.00
Atoms (fractional coordinates):
1 Cs 0.024 0.250 0.091
2 Cs 0.090 0.250 0.681
3 Cs 0.184 0.250 0.255
4 Cs 0.316 0.750 0.755
5 Cs 0.410 0.750 0.181
6 Cs 0.476 0.750 0.591
7 Cs 0.524 0.250 0.409
8 Cs 0.590 0.250 0.819
9 Cs 0.684 0.250 0.245
10 Cs 0.816 0.750 0.745
11 Cs 0.910 0.750 0.319
12 Cs 0.976 0.750 0.909
13 Nd 0.181 0.750 0.459
14 Nd 0.319 0.250 0.959
15 Nd 0.681 0.750 0.041
16 Nd 0.819 0.250 0.541
17 Mo 0.020 0.750 0.601
18 Mo 0.119 0.250 0.825
19 Mo 0.248 0.750 0.025
20 Mo 0.252 0.250 0.525
21 Mo 0.381 0.750 0.325
22 Mo 0.480 0.250 0.101
23 Mo 0.520 0.750 0.899
24 Mo 0.619 0.250 0.675
25 Mo 0.748 0.750 0.475
26 Mo 0.752 0.250 0.975
27 Mo 0.881 0.750 0.175
28 Mo 0.980 0.250 0.399
29 O 0.026 0.023 0.806
30 O 0.026 0.477 0.806
31 O 0.065 0.250 0.518
32 O 0.084 0.020 0.405
33 O 0.084 0.480 0.405
34 O 0.094 0.750 0.663
35 O 0.152 0.250 0.894
36 O 0.160 0.750 0.555
37 O 0.177 0.526 0.993
38 O 0.177 0.974 0.993
39 O 0.203 0.750 0.090
40 O 0.220 0.750 0.290
41 O 0.280 0.250 0.790
42 O 0.297 0.250 0.590
43 O 0.323 0.026 0.493
44 O 0.323 0.474 0.493
45 O 0.340 0.250 0.055
46 O 0.348 0.750 0.394
47 O 0.406 0.250 0.163
48 O 0.416 0.520 0.905
49 O 0.416 0.980 0.905
50 O 0.435 0.750 0.018
51 O 0.474 0.523 0.306
52 O 0.474 0.977 0.306
53 O 0.526 0.023 0.694
54 O 0.526 0.477 0.694
55 O 0.565 0.250 0.982
56 O 0.584 0.020 0.095
57 O 0.584 0.480 0.095
58 O 0.594 0.750 0.837
59 O 0.652 0.250 0.606
60 O 0.660 0.750 0.945
61 O 0.677 0.526 0.507
62 O 0.677 0.974 0.507
63 O 0.703 0.750 0.410
64 O 0.720 0.750 0.210
65 O 0.780 0.250 0.710
66 O 0.797 0.250 0.910
67 O 0.823 0.026 0.007
68 O 0.823 0.474 0.007
69 O 0.840 0.250 0.445
70 O 0.848 0.750 0.106
71 O 0.906 0.250 0.337
72 O 0.916 0.520 0.595
73 O 0.916 0.980 0.595
74 O 0.935 0.750 0.482
75 O 0.974 0.523 0.194
76 O 0.974 0.977 0.194

Results
VASP energy, eV per atom: -6.708
Symmetry: Pnma
M_tot, μB per atom: 0.010